DFT (meta-GGA SCAN) results for a crystal of AlSiRh relaxed with PBEsol.

a b c (Å): 5.7044 5.7044 5.7044
angles (deg): 90.00 90.00 90.00
Closest atoms and distances in Å follow each position.
Space group F-43m (No. 216)
Symmetry-distinct sites (fractional):
Al: 0.0000 0.0000 0.0000 (multiplicity 4)  4 Rh 2.47
Si: 0.0000 0.0000 0.5000 (multiplicity 4)  4 Rh 2.47
Rh: 0.2500 0.2500 0.7500 (multiplicity 4)  4 Al 2.47, 4 Si 2.47

raw total energy: -17.913 eV/atom



DFT (meta-GGA SCAN) results for a crystal of Al2SiRh relaxed with PBEsol.

a b c (Å): 3.8239 3.8239 7.5773
angles (deg): 90.00 90.00 90.00
Closest atoms and distances in Å follow each position.
Space group I4/mmm (No. 139)
Symmetry-distinct sites (fractional):
Al: 0.0000 0.5000 0.2500 (multiplicity 4)  4 Rh 2.69, 4 Si 2.69, 4 Al 2.70
Si: 0.0000 0.0000 0.0000 (multiplicity 2)  8 Al 2.69, 4 Rh 2.70
Rh: 0.0000 0.0000 0.5000 (multiplicity 2)  8 Al 2.69, 4 Si 2.70

raw total energy: -15.250 eV/atom



DFT (meta-GGA SCAN) results for a crystal of AlSi2Rh relaxed with PBEsol.

a b c (Å): 3.9413 3.9413 7.1484
angles (deg): 90.00 90.00 90.00
Closest atoms and distances in Å follow each position.
Space group I4/mmm (No. 139)
Symmetry-distinct sites (fractional):
Al: 0.0000 0.0000 0.0000 (multiplicity 2)  8 Si 2.66, 4 Rh 2.79
Si: 0.0000 0.5000 0.2500 (multiplicity 4)  4 Al 2.66, 4 Rh 2.66, 4 Si 2.79
Rh: 0.0000 0.0000 0.5000 (multiplicity 2)  8 Si 2.66, 4 Al 2.79

raw total energy: -15.475 eV/atom



DFT (meta-GGA SCAN) results for a crystal of Al2SiRh relaxed with PBEsol.

a b c (Å): 8.5258 2.9321 4.5084
angles (deg): 90.00 97.70 90.00
Closest atoms and distances in Å follow each position.
Space group C2/m (No. 12)
Symmetry-distinct sites (fractional):
Al: 0.2430 0.0000 0.2437 (multiplicity 4)  3 Si 2.50-2.76, 3 Rh 2.58-2.65, 4 Al 2.66-2.73
Si: 0.0000 0.0000 0.5000 (multiplicity 2)  6 Al 2.50-2.76, 4 Rh 2.69
Rh: 0.0000 0.5000 0.0000 (multiplicity 2)  6 Al 2.58-2.65, 4 Si 2.69

raw total energy: -15.253 eV/atom



DFT (meta-GGA SCAN) results for a crystal of AlSi2Rh relaxed with PBEsol.

a b c (Å): 8.6066 2.8915 4.3934
angles (deg): 90.00 96.91 90.00
Closest atoms and distances in Å follow each position.
Space group Cm (No. 8)
Symmetry-distinct sites (fractional):
Al: 0.0000 0.0000 0.0000 (multiplicity 2)  5 Si 2.48-2.64, 3 Rh 2.57-2.69
Si: 0.2407 0.0000 0.7408 (multiplicity 2)  1 Si 2.46, 1 Al 2.48, 4 Rh 2.59-2.67
Si: 0.4825 0.0000 0.4949 (multiplicity 2)  1 Si 2.46, 3 Rh 2.62, 4 Al 2.63-2.64
Rh: 0.2455 0.5000 0.2522 (multiplicity 2)  3 Al 2.57-2.69, 7 Si 2.59-2.67

raw total energy: -15.630 eV/atom



DFT (meta-GGA SCAN) results for a crystal of Sm2Al9Rh3 relaxed with PBEsol.

a b c (Å): 12.9698 7.5945 9.4576
angles (deg): 90.00 90.00 90.00
Closest atoms and distances in Å follow each position.
Space group Cmcm (No. 63)
Symmetry-distinct sites (fractional):
Sm: 0.1613 0.1668 0.2500 (multiplicity 8)  11 Al 3.03-3.15
Al: 0.0000 0.1291 0.7500 (multiplicity 4)  2 Rh 2.56, 6 Al 2.75-2.76
Al: 0.0000 0.3330 0.0474 (multiplicity 8)  3 Rh 2.57-2.60, 3 Al 2.69-2.76
Al: 0.1051 0.4454 0.7500 (multiplicity 8)  2 Rh 2.55, 4 Al 2.73-2.80
Al: 0.1673 0.1685 0.5743 (multiplicity 16)  3 Rh 2.55-2.62, 4 Al 2.75-2.85
Rh: 0.0000 0.0000 0.0000 (multiplicity 4)  8 Al 2.56-2.62
Rh: 0.1715 0.5000 0.0000 (multiplicity 8)  8 Al 2.55-2.61

formation energy: -0.957 eV/atom



DFT (meta-GGA SCAN) results for a crystal of SrAl2Rh relaxed with PBEsol.

a b c (Å): 4.2879 4.2879 16.7590
angles (deg): 90.00 90.00 120.00
Closest atoms and distances in Å follow each position.
Space group R-3m (No. 166, hexagonal axes)
Symmetry-distinct sites (fractional):
Sr: 0.0000 0.0000 0.0000 (multiplicity 3)  8 Al 3.27-3.39
Al: 0.0000 0.0000 0.1951 (multiplicity 6)  3 Rh 2.52, 3 Al 2.65
Rh: 0.0000 0.0000 0.5000 (multiplicity 3)  6 Al 2.52

formation energy: -0.700 eV/atom



DFT (meta-GGA SCAN) results for a crystal of SrAl2Rh relaxed with PBEsol.

a b c (Å): 4.4791 5.4869 7.0433
angles (deg): 90.00 90.00 90.00
Closest atoms and distances in Å follow each position.
Space group Imm2 (No. 44)
Symmetry-distinct sites (fractional):
Sr: 0.0000 0.0000 0.0000 (multiplicity 2)  4 Rh 2.99-3.24, 5 Al 3.05-3.30
Al: 0.0000 0.0000 0.4689 (multiplicity 2)  2 Rh 2.44, 2 Al 2.72
Al: 0.0000 0.5000 0.1885 (multiplicity 2)  1 Rh 2.51, 2 Al 2.72
Rh: 0.0000 0.5000 0.8322 (multiplicity 2)  3 Al 2.44-2.51

formation energy: -0.173 eV/atom



DFT (meta-GGA SCAN) results for a crystal of SrAl2Rh relaxed with PBEsol.

a b c (Å): 4.0822 4.0822 4.6880
angles (deg): 90.00 90.00 90.00
Closest atoms and distances in Å follow each position.
Space group P4/mmm (No. 123)
Symmetry-distinct sites (fractional):
Sr: 0.0000 0.0000 0.0000 (multiplicity 1)  4 Rh 2.89, 8 Al 3.11
Al: 0.0000 0.5000 0.5000 (multiplicity 2)  4 Al 2.89, 4 Rh 3.11, 4 Sr 3.11
Rh: 0.5000 0.5000 0.0000 (multiplicity 1)  4 Sr 2.89, 8 Al 3.11

formation energy: 0.005 eV/atom



DFT (meta-GGA SCAN) results for a crystal of SrAl2Rh relaxed with PBEsol.

a b c (Å): 4.3330 4.3330 16.7758
angles (deg): 90.00 90.00 120.00
Closest atoms and distances in Å follow each position.
Space group R3m (No. 160, hexagonal axes)
Symmetry-distinct sites (fractional):
Sr: 0.0000 0.0000 0.0000 (multiplicity 3)  1 Rh 3.05, 1 Al 3.20
Al: 0.0000 0.0000 0.5257 (multiplicity 3)  3 Rh 2.51, 3 Al 2.64
Al: 0.0000 0.0000 0.8093 (multiplicity 3)  3 Rh 2.59, 3 Al 2.64
Rh: 0.0000 0.0000 0.1816 (multiplicity 3)  6 Al 2.51-2.59

formation energy: -0.684 eV/atom



DFT (meta-GGA SCAN) results for a crystal of SrAl2Rh relaxed with PBEsol.

a b c (Å): 3.1479 3.1479 7.7500
angles (deg): 90.00 90.00 90.00
Closest atoms and distances in Å follow each position.
Space group P4/mmm (No. 123)
Symmetry-distinct sites (fractional):
Sr: 0.0000 0.0000 0.0000 (multiplicity 1)  4 Sr 3.15, 8 Al 3.35
Al: 0.5000 0.5000 0.3232 (multiplicity 2)  4 Rh 2.61, 1 Al 2.74
Rh: 0.0000 0.0000 0.5000 (multiplicity 1)  8 Al 2.61

formation energy: -0.560 eV/atom



DFT (meta-GGA SCAN) results for a crystal of TaAlTl2Rh relaxed with PBEsol.

a b c (Å): 5.2406 5.2406 4.9452
angles (deg): 90.00 90.00 90.00
Closest atoms and distances in Å follow each position.
Space group P4/mmm (No. 123)
Symmetry-distinct sites (fractional):
Ta: 0.0000 0.0000 0.0000 (multiplicity 1)  2 Al 2.47, 4 Tl 2.62
Al: 0.0000 0.0000 0.5000 (multiplicity 1)  2 Ta 2.47
Tl: 0.0000 0.5000 0.0000 (multiplicity 2)  2 Ta 2.62
Rh: 0.5000 0.5000 0.5000 (multiplicity 1)  8 Tl 3.60, 4 Al 3.71

formation energy: 1.349 eV/atom



Number 12 is which compound?
TaAlTl2Rh